DFT (GGA-PBE) results for a relaxed Li2UCu2S4 crystal.

a b c (Å): 7.1842 7.1842 7.4766
angles (deg): 119.71 119.71 30.18
Fractional coordinates of all 9 atoms:
Li (0.1402, 0.1402, 0.2218)
Li (0.8598, 0.8598, 0.7782)
U (0.0000, 0.0000, 0.5000)
Cu (0.3247, 0.3247, 0.1162)
Cu (0.6753, 0.6753, 0.8838)
S (0.2255, 0.2255, 0.7465)
S (0.4844, 0.4844, 0.7468)
S (0.5156, 0.5156, 0.2532)
S (0.7745, 0.7745, 0.2535)

Values from the calculation:
Raw formation energy = -0.97 eV/atom
DOS(E_F) = 0.345 states/eV/atom
Space group = No. 12
Total magnetization = 2.00 Bohr magnetons per cell



DFT (GGA-PBE) results for a relaxed Li3U2CuS6 crystal.

a b c (Å): 6.5338 6.5338 6.5672
angles (deg): 99.51 99.51 119.98
Fractional coordinates of all 12 atoms:
Li (0.0000, 0.0000, 0.0000)
Li (0.3365, 0.6635, 0.0000)
Li (0.6635, 0.3365, 0.0000)
U (0.1670, 0.8330, 0.5000)
U (0.8330, 0.1670, 0.5000)
Cu (0.5000, 0.5000, 0.5000)
S (0.0871, 0.4167, 0.2500)
S (0.2536, 0.2536, 0.7490)
S (0.4167, 0.0871, 0.2500)
S (0.5833, 0.9129, 0.7500)
S (0.7464, 0.7464, 0.2510)
S (0.9129, 0.5833, 0.7500)

Values from the calculation:
Raw formation energy = -1.19 eV/atom
DOS(E_F) = 1.092 states/eV/atom
Space group = No. 12
Total magnetization = 4.00 Bohr magnetons per cell



DFT (GGA-PBE) results for a relaxed LiVCu2S4 crystal.

a b c (Å): 7.5699 6.4461 6.2327
angles (deg): 90.00 90.00 90.00
Fractional coordinates of all 16 atoms:
Li (0.0000, 0.1547, 0.0000)
Li (0.5000, 0.8453, 0.5000)
V (0.0000, 0.8217, 0.4999)
V (0.5000, 0.1783, 0.9999)
Cu (0.2474, 0.3273, 0.5077)
Cu (0.2526, 0.6727, 0.0077)
Cu (0.7474, 0.6727, 0.0077)
Cu (0.7526, 0.3273, 0.5077)
S (0.0000, 0.1472, 0.3985)
S (0.0000, 0.8024, 0.8504)
S (0.2332, 0.6612, 0.3742)
S (0.2668, 0.3388, 0.8742)
S (0.5000, 0.1976, 0.3504)
S (0.5000, 0.8528, 0.8985)
S (0.7332, 0.3388, 0.8742)
S (0.7668, 0.6612, 0.3742)

Values from the calculation:
Raw formation energy = -0.70 eV/atom
Space group = No. 31
Total magnetization = 0.00 Bohr magnetons per cell



> Among the records above, which one has the highest raw formation energy?

LiVCu2S4



> What is the raw formation energy in the first record?

-0.97 eV/atom